Here is a geometry-optimized K3TlW2O8 structure from the Alexandria database. Energies are from PBE with a Hubbard U.

## Properties
SG ... P-3m1, No. 164
Crystal system ... trigonal
DOS(E_F) ... 0.00 states/eV per cell
Electronic total energy ... -6.15 eV/atom

extended XYZ file:
```
14
Lattice="-3.023 -5.542 1.222 2.651 3.345 4.809 -7.108 4.110 1.059" Properties=species:S:1:pos:R:3 pbc="T T T"
O -0.302 2.860 4.451
O -1.520 1.324 2.241
O -5.788 1.599 2.078
O -6.175 4.393 4.647
W -6.863 0.734 3.272
K -4.024 3.149 4.326
O -1.691 0.314 5.012
Tl -3.554 2.055 0.530
W -0.617 1.179 3.819
O -1.304 -2.480 2.444
O -5.959 0.590 4.850
K 0.000 0.000 0.000
O -7.177 -0.947 2.640
K -3.455 -1.236 2.764
```